# Zr2UBi PBE relaxed
data_Zr2UBi
_space_group_name_H-M_alt 'P 4/m m m'
_space_group_IT_number 123
_space_group_name_Hall '-P 4 2'
_cell_length_a 4.814
_cell_length_b 4.814
_cell_length_c 4.060
_cell_angle_alpha 90.00
_cell_angle_beta 90.00
_cell_angle_gamma 90.00
loop_
_atom_site_label
_atom_site_fract_x
_atom_site_fract_y
_atom_site_fract_z
Zr1 0.000 0.500 0.000
U1 0.000 0.000 0.500
Bi1 0.500 0.500 0.500
# ΔE_f = 13 meV/atom
# Calculated total energy = -32.2 eV per formula unit
# Energy above the lowest structure with this stoichiometry = 0.000 eV/atom
# N(E_F) = 8.02 states/eV per cell